Rb2HgPb2, optimized geometry, DFT PBE-GGA; magnetization = 0.0 μB/cell; E_form = -0.011 eV per atom; calculated volume = 45.1 Å³ per atom; final energy = -19.4 eV per cell
1.0
-6.834 -5.786 6.394
-1.297 -7.375 -8.061
2.884 -1.949 1.319
Pb Hg Rb
4 2 4
Direct
0.095 0.595 0.500
0.405 0.095 0.500
0.595 0.905 0.500
0.905 0.405 0.500
0.500 0.500 0.000
0.000 0.000 0.000
0.300 0.800 0.000
0.800 0.700 0.000
0.200 0.300 0.000
0.700 0.200 0.000